Arrangement a

# HoErTlAu | Alexandria via LeMat-Bulk | PBE | optimized geometry
# V in Å³ per cell: 399
# Calculated density in g/cm3: 12.201
data_HoErTlAu
_chemical_formula_sum 'Ho4 Er4 Tl4 Au4'
_space_group_name_H-M_alt 'F -4 3 m'
_space_group_IT_number 216
_space_group_name_Hall 'F -4 2 3'
_cell_length_a 7.364
_cell_length_b 7.364
_cell_length_c 7.364
_cell_angle_alpha 90.00
_cell_angle_beta 90.00
_cell_angle_gamma 90.00
loop_
_atom_site_label
_atom_site_fract_x
_atom_site_fract_y
_atom_site_fract_z
Ho1 0.000 0.000 0.000
Er1 0.000 0.000 0.500
Tl1 0.250 0.250 0.750
Au1 0.250 0.250 0.250


Arrangement b

# HoErTlAu | Alexandria via LeMat-Bulk | PBE | optimized geometry
# V in Å³ per cell: 99
# Calculated density in g/cm3: 12.249
data_HoErTlAu
_chemical_formula_sum 'Ho1 Er1 Tl1 Au1'
_space_group_name_H-M_alt 'P 4 m m'
_space_group_IT_number 99
_space_group_name_Hall 'P 4 -2'
_cell_length_a 3.604
_cell_length_b 3.604
_cell_length_c 7.658
_cell_angle_alpha 90.00
_cell_angle_beta 90.00
_cell_angle_gamma 90.00
loop_
_atom_site_label
_atom_site_fract_x
_atom_site_fract_y
_atom_site_fract_z
Ho1 0.000 0.000 0.000
Er1 0.000 0.000 0.459
Tl1 0.500 0.500 0.729
Au1 0.500 0.500 0.234


arrangement b takes first place; second place is 4.0 kJ/mol of atoms up.


Arrangement a

# Er4InAu | Alexandria via LeMat-Bulk | PBE | optimized geometry
# V in Å³ per cell: 320
# Calculated density in g/cm3: 10.165
data_Er4InAu
_chemical_formula_sum 'Er8 In2 Au2'
_space_group_name_H-M_alt 'P 1 21/m 1'
_space_group_IT_number 11
_space_group_name_Hall '-P 2yb'
_cell_length_a 5.348
_cell_length_b 6.864
_cell_length_c 8.788
_cell_angle_alpha 90.00
_cell_angle_beta 96.66
_cell_angle_gamma 90.00
loop_
_atom_site_label
_atom_site_fract_x
_atom_site_fract_y
_atom_site_fract_z
Er1 0.184 0.250 0.064
Er2 0.225 0.750 0.385
Er3 0.301 0.508 0.746
In1 0.236 0.250 0.421
Au1 0.328 0.750 0.062


Arrangement b

# Er4InAu | Alexandria via LeMat-Bulk | PBE | optimized geometry
# V in Å³ per cell: 370
# Calculated density in g/cm3: 8.794
data_Er4InAu
_chemical_formula_sum 'Er8 In2 Au2'
_space_group_name_H-M_alt 'P 1 21/c 1'
_space_group_IT_number 14
_space_group_name_Hall '-P 2ybc'
_cell_length_a 7.385
_cell_length_b 7.319
_cell_length_c 6.866
_cell_angle_alpha 90.00
_cell_angle_beta 93.53
_cell_angle_gamma 90.00
loop_
_atom_site_label
_atom_site_fract_x
_atom_site_fract_y
_atom_site_fract_z
Er1 0.158 0.167 0.176
Er2 0.334 0.647 0.114
In1 0.500 0.000 0.000
Au1 0.000 0.000 0.500


arrangement a takes first place; second place is 22.5 kJ/mol of atoms up.


Arrangement a

# Er4In2Au | Alexandria via LeMat-Bulk | PBE | optimized geometry
# V in Å³ per cell: 225
# Calculated density in g/cm3: 8.096
data_Er4In2Au
_chemical_formula_sum 'Er4 In2 Au1'
_space_group_name_H-M_alt 'P 1 2/m 1'
_space_group_IT_number 10
_space_group_name_Hall '-P 2y'
_cell_length_a 7.860
_cell_length_b 3.562
_cell_length_c 8.916
_cell_angle_alpha 90.00
_cell_angle_beta 115.80
_cell_angle_gamma 90.00
loop_
_atom_site_label
_atom_site_fract_x
_atom_site_fract_y
_atom_site_fract_z
Er1 0.239 0.000 0.035
Er2 0.244 0.500 0.654
In1 0.113 0.000 0.325
Au1 0.500 0.500 0.000


Arrangement b

# Er4In2Au | Alexandria via LeMat-Bulk | PBE | optimized geometry
# V in Å³ per cell: 585
# Calculated density in g/cm3: 9.332
data_Er4In2Au
_chemical_formula_sum 'Er12 In6 Au3'
_space_group_name_H-M_alt 'R -3 m'
_space_group_IT_number 166
_space_group_name_Hall '-R 3 2"'
_cell_length_a 5.1656
_cell_length_b 5.1656
_cell_length_c 25.3101
_cell_angle_alpha 90.00
_cell_angle_beta 90.00
_cell_angle_gamma 120.00
loop_
_atom_site_label
_atom_site_fract_x
_atom_site_fract_y
_atom_site_fract_z
Er1 0.0000 0.0000 0.1236
Er2 0.0000 0.0000 0.3745
In1 0.0000 0.0000 0.2463
Au1 0.0000 0.0000 0.0000


arrangement b takes first place; second place is 27.0 kJ/mol of atoms up.


Arrangement a

# Er12InAu6 | Alexandria via LeMat-Bulk | PBE | optimized geometry
# V in Å³ per cell: 1007
# Calculated density in g/cm3: 10.892
data_Er12InAu6
_chemical_formula_sum 'Er24 In2 Au12'
_space_group_name_H-M_alt 'I m -3'
_space_group_IT_number 204
_space_group_name_Hall '-I 2 2 3'
_cell_length_a 10.025
_cell_length_b 10.025
_cell_length_c 10.025
_cell_angle_alpha 90.00
_cell_angle_beta 90.00
_cell_angle_gamma 90.00
loop_
_atom_site_label
_atom_site_fract_x
_atom_site_fract_y
_atom_site_fract_z
Er1 0.000 0.291 0.184
In1 0.000 0.000 0.000
Au1 0.000 0.139 0.500


Arrangement b

# Er12InAu6 | Alexandria via LeMat-Bulk | PBE | optimized geometry
# V in Å³ per cell: 1716
# Calculated density in g/cm3: 9.593
data_Er12InAu6
_chemical_formula_sum 'Er36 In3 Au18'
_space_group_name_H-M_alt 'R -3'
_space_group_IT_number 148
_space_group_name_Hall '-R 3'
_cell_length_a 13.2151
_cell_length_b 13.2151
_cell_length_c 11.3433
_cell_angle_alpha 90.00
_cell_angle_beta 90.00
_cell_angle_gamma 120.00
loop_
_atom_site_label
_atom_site_fract_x
_atom_site_fract_y
_atom_site_fract_z
Er1 0.0355 0.2138 0.3907
Er2 0.0404 0.2261 0.8967
In1 0.0000 0.0000 0.0000
Au1 0.0451 0.2567 0.6486


arrangement a takes first place; second place is 16.9 kJ/mol of atoms up.


Arrangement a

# PmErInAu | Alexandria via LeMat-Bulk | PBE | optimized geometry
# V in Å³ per cell: 414
# Calculated density in g/cm3: 10.002
data_PmErInAu
_chemical_formula_sum 'Pm4 Er4 In4 Au4'
_space_group_name_H-M_alt 'F -4 3 m'
_space_group_IT_number 216
_space_group_name_Hall 'F -4 2 3'
_cell_length_a 7.456
_cell_length_b 7.456
_cell_length_c 7.456
_cell_angle_alpha 90.00
_cell_angle_beta 90.00
_cell_angle_gamma 90.00
loop_
_atom_site_label
_atom_site_fract_x
_atom_site_fract_y
_atom_site_fract_z
Pm1 0.000 0.000 0.000
Er1 0.000 0.000 0.500
In1 0.250 0.250 0.750
Au1 0.250 0.250 0.250


Arrangement b

# PmErInAu | Alexandria via LeMat-Bulk | PBE | optimized geometry
# V in Å³ per cell: 103
# Calculated density in g/cm3: 10.091
data_PmErInAu
_chemical_formula_sum 'Pm1 Er1 In1 Au1'
_space_group_name_H-M_alt 'P 4 m m'
_space_group_IT_number 99
_space_group_name_Hall 'P 4 -2'
_cell_length_a 3.632
_cell_length_b 3.632
_cell_length_c 7.783
_cell_angle_alpha 90.00
_cell_angle_beta 90.00
_cell_angle_gamma 90.00
loop_
_atom_site_label
_atom_site_fract_x
_atom_site_fract_y
_atom_site_fract_z
Pm1 0.000 0.000 0.000
Er1 0.000 0.000 0.537
In1 0.500 0.500 0.276
Au1 0.500 0.500 0.738


arrangement b takes first place; second place is 7.3 kJ/mol of atoms up.


Arrangement a

# ErScInAu | Alexandria via LeMat-Bulk | PBE | optimized geometry
# V in Å³ per cell: 91
# Calculated density in g/cm3: 9.570
data_ErScInAu
_chemical_formula_sum 'Er1 Sc1 In1 Au1'
_space_group_name_H-M_alt 'P 4 m m'
_space_group_IT_number 99
_space_group_name_Hall 'P 4 -2'
_cell_length_a 3.501
_cell_length_b 3.501
_cell_length_c 7.417
_cell_angle_alpha 90.00
_cell_angle_beta 90.00
_cell_angle_gamma 90.00
loop_
_atom_site_label
_atom_site_fract_x
_atom_site_fract_y
_atom_site_fract_z
Er1 0.000 0.000 0.000
Sc1 0.000 0.000 0.538
In1 0.500 0.500 0.284
Au1 0.500 0.500 0.748


Arrangement b

# ErScInAu | Alexandria via LeMat-Bulk | PBE | optimized geometry
# V in Å³ per cell: 366
# Calculated density in g/cm3: 9.502
data_ErScInAu
_chemical_formula_sum 'Er4 Sc4 In4 Au4'
_space_group_name_H-M_alt 'F -4 3 m'
_space_group_IT_number 216
_space_group_name_Hall 'F -4 2 3'
_cell_length_a 7.155
_cell_length_b 7.155
_cell_length_c 7.155
_cell_angle_alpha 90.00
_cell_angle_beta 90.00
_cell_angle_gamma 90.00
loop_
_atom_site_label
_atom_site_fract_x
_atom_site_fract_y
_atom_site_fract_z
Er1 0.000 0.000 0.000
Sc1 0.000 0.000 0.500
In1 0.250 0.250 0.250
Au1 0.250 0.250 0.750


arrangement a takes first place; second place is 5.1 kJ/mol of atoms up.